Below is an optimized crystal structure of ZrBr2Cl, with properties calculated at the PBE-GGA level.

The structure in POSCAR format:
```
ZrBr2Cl
1.0
3.482 0.000 0.000
0.000 3.482 0.000
0.000 0.000 7.241
Zr Br Cl
1 2 1
direct
0.000 0.000 0.000
0.500 0.500 0.217
0.500 0.500 0.783
0.000 0.000 0.500
```

Computed properties:
- Raw formation energy: -0.77 eV per atom
- Energy above the lowest structure with this stoichiometry: 0.6470 eV per atom
- Space group: P4/mmm (123)

---

Below is an optimized crystal structure of InPt2Cl, with properties calculated at the PBE-GGA level.

The structure in POSCAR format:
```
InPt2Cl
1.0
2.980 0.000 0.000
0.000 4.675 0.000
0.000 0.000 5.194
In Pt Cl
1 2 1
direct
0.000 0.000 0.000
0.000 0.500 0.500
0.500 0.500 0.000
0.500 0.000 0.500
```

Computed properties:
- Raw formation energy: 0.09 eV per atom
- Energy above the lowest structure with this stoichiometry: 0.1901 eV per atom
- Space group: Pmmm (47)

---

Below is an optimized crystal structure of ZnRuCl2, with properties calculated at the PBE-GGA level.

The structure in POSCAR format:
```
ZnRuCl2
1.0
-1.560 3.642 4.530
1.560 -3.642 4.530
1.560 3.642 -4.530
Zn Ru Cl
1 1 2
direct
0.000 0.000 0.000
0.767 0.267 0.500
0.194 0.694 0.500
0.578 0.578 0.000
```

Computed properties:
- Raw formation energy: 0.06 eV per atom
- Energy above the lowest structure with this stoichiometry: 0.3350 eV per atom
- Space group: Imm2 (44)

---

Below is an optimized crystal structure of PmPr3Sm3Zn2, with properties calculated at the PBE-GGA level.

The structure in POSCAR format:
```
PmPr3Sm3Zn2
1.0
9.249 0.000 0.000
-4.625 8.010 0.000
0.000 0.000 3.707
Pm Pr Sm Zn
1 3 3 2
direct
0.000 0.000 0.000
0.000 0.688 0.500
0.312 0.312 0.500
0.688 0.000 0.500
0.000 0.380 0.000
0.380 0.000 0.000
0.620 0.620 0.000
0.333 0.667 0.500
0.667 0.333 0.500
```

Computed properties:
- Calculated total energy: -3.982 eV per atom
- Space group: P-62m (189)

---

Below is an optimized crystal structure of TbCe3, with properties calculated at the PBE-GGA level.

The structure in POSCAR format:
```
TbCe3
1.0
-1.695 5.665 2.981
1.695 -5.665 2.981
1.695 5.665 -2.981
Tb Ce
1 3
direct
0.000 0.000 0.000
0.383 0.621 0.762
0.497 0.997 0.500
0.860 0.621 0.238
```

Computed properties:
- Energy above the lowest structure with this stoichiometry: 0.0293 eV per atom
- Space group: Imm2 (44)

---

Below is an optimized crystal structure of PmScIn2Te4, with properties calculated at the PBE-GGA level.

The structure in POSCAR format:
```
PmScIn2Te4
1.0
7.582 0.000 0.000
0.000 4.364 0.000
-2.499 0.000 8.041
Pm Sc In Te
1 1 2 4
direct
0.000 0.000 0.000
0.500 0.500 0.000
0.000 0.500 0.500
0.500 0.000 0.500
0.256 0.500 0.222
0.278 0.000 0.787
0.722 0.000 0.213
0.744 0.500 0.778
```

Computed properties:
- Raw formation energy: -0.91 eV per atom
- Space group: P2/m (10)

---

Below is an optimized crystal structure of TaTe2Os, with properties calculated at the PBE-GGA level.

The structure in POSCAR format:
```
TaTe2Os
1.0
1.638 0.946 8.457
-1.638 0.946 8.457
0.000 -1.892 8.457
Ta Te Os
1 2 1
direct
0.000 0.000 0.000
0.248 0.248 0.248
0.752 0.752 0.752
0.500 0.500 0.500
```

Computed properties:
- Raw formation energy: 0.60 eV per atom
- Energy above the lowest structure with this stoichiometry: 0.5745 eV per atom
- Space group: R-3m (166)

---

Below is an optimized crystal structure of K2MgOsSe, with properties calculated at the PBE-GGA level.

The structure in POSCAR format:
```
K2MgOsSe
1.0
6.000 0.000 0.000
0.000 6.000 0.000
0.000 0.000 5.049
K Mg Os Se
2 1 1 1
direct
0.000 0.500 0.000
0.500 0.000 0.000
0.000 0.000 0.500
0.000 0.000 0.000
0.500 0.500 0.500
```

Computed properties:
- Raw formation energy: 0.89 eV per atom
- Space group: P4/mmm (123)

---

What did the sixth record say?
Below is an optimized crystal structure of PmScIn2Te4, with properties calculated at the PBE-GGA level.

The structure in POSCAR format:
```
PmScIn2Te4
1.0
7.582 0.000 0.000
0.000 4.364 0.000
-2.499 0.000 8.041
Pm Sc In Te
1 1 2 4
direct
0.000 0.000 0.000
0.500 0.500 0.000
0.000 0.500 0.500
0.500 0.000 0.500
0.256 0.500 0.222
0.278 0.000 0.787
0.722 0.000 0.213
0.744 0.500 0.778
```

Computed properties:
- Raw formation energy: -0.91 eV per atom
- Space group: P2/m (10)